# Co2NiMo (PBE-GGA, optimized geometry)
data_Co2NiMo
_cell_length_a 5.7435
_cell_length_b 5.7435
_cell_length_c 5.7435
_cell_angle_alpha 90.00
_cell_angle_beta 90.00
_cell_angle_gamma 90.00
_space_group_name_H-M_alt 'F m -3 m'
_space_group_IT_number 225
_space_group_name_Hall '-F 4 2 3'
loop_
_atom_site_label
_atom_site_type_symbol
_atom_site_fract_x
_atom_site_fract_y
_atom_site_fract_z
Co1 Co 0.2500 0.2500 0.2500
Ni1 Ni 0.0000 0.0000 0.0000
Mo1 Mo 0.0000 0.0000 0.5000
# - total magnetic moment (μB/f.u.) = 0.0
# - N(E_F) (states/eV per atom) = 0.68
# - ΔH_f (0 K) (eV per atom) = 0.097

---

# HfCu3Ni (PBE-GGA, optimized geometry)
data_HfCu3Ni
_cell_length_a 4.7809
_cell_length_b 4.7809
_cell_length_c 4.7809
_cell_angle_alpha 90.00
_cell_angle_beta 90.00
_cell_angle_gamma 90.00
_space_group_name_H-M_alt 'P m -3 m'
_space_group_IT_number 221
_space_group_name_Hall '-P 4 2 3'
loop_
_atom_site_label
_atom_site_type_symbol
_atom_site_fract_x
_atom_site_fract_y
_atom_site_fract_z
Hf1 Hf 0.0000 0.0000 0.0000
Cu1 Cu 0.0000 0.0000 0.5000
Ni1 Ni 0.5000 0.5000 0.5000
# - total magnetic moment (μB/f.u.) = 0.9
# - N(E_F) (states/eV per atom) = 1.55
# - ΔH_f (0 K) (eV per atom) = 1.668

---

# Cs4Pa3NbO12 (PBE-GGA, optimized geometry)
data_Cs4Pa3NbO12
_cell_length_a 8.7704
_cell_length_b 8.7704
_cell_length_c 8.7704
_cell_angle_alpha 90.00
_cell_angle_beta 90.00
_cell_angle_gamma 90.00
_space_group_name_H-M_alt 'I m -3 m'
_space_group_IT_number 229
_space_group_name_Hall '-I 4 2 3'
loop_
_atom_site_label
_atom_site_type_symbol
_atom_site_fract_x
_atom_site_fract_y
_atom_site_fract_z
Cs1 Cs 0.2500 0.2500 0.2500
Pa1 Pa 0.0000 0.0000 0.5000
Nb1 Nb 0.0000 0.0000 0.0000
O1 O 0.0000 0.0000 0.2386
O2 O 0.0000 0.2500 0.5000
# - total magnetic moment (μB/f.u.) = 0.0
# - N(E_F) (states/eV per atom) = 0.00
# - formation energy without anion corrections (eV/atom) = -2.8332

---

# Y2MgHF (PBE-GGA, optimized geometry)
data_Y2MgHF
_cell_length_a 4.7655
_cell_length_b 4.7655
_cell_length_c 4.4602
_cell_angle_alpha 90.00
_cell_angle_beta 90.00
_cell_angle_gamma 90.00
_space_group_name_H-M_alt 'P 4/m m m'
_space_group_IT_number 123
_space_group_name_Hall '-P 4 2'
loop_
_atom_site_label
_atom_site_type_symbol
_atom_site_fract_x
_atom_site_fract_y
_atom_site_fract_z
Y1 Y 0.0000 0.5000 0.0000
Mg1 Mg 0.0000 0.0000 0.5000
H1 H 0.5000 0.5000 0.5000
F1 F 0.5000 0.5000 0.0000
# - E (eV per atom) = -4.569
# - total magnetic moment (μB/f.u.) = 0.0
# - N(E_F) (states/eV per atom) = 0.94

---

> Look up the total magnetic moment of the second one.

0.9 μB/f.u.

---

> What is the formula in the third record?

Cs4Pa3NbO12

---

What did the fourth record say?
# Y2MgHF (PBE-GGA, optimized geometry)
data_Y2MgHF
_cell_length_a 4.7655
_cell_length_b 4.7655
_cell_length_c 4.4602
_cell_angle_alpha 90.00
_cell_angle_beta 90.00
_cell_angle_gamma 90.00
_space_group_name_H-M_alt 'P 4/m m m'
_space_group_IT_number 123
_space_group_name_Hall '-P 4 2'
loop_
_atom_site_label
_atom_site_type_symbol
_atom_site_fract_x
_atom_site_fract_y
_atom_site_fract_z
Y1 Y 0.0000 0.5000 0.0000
Mg1 Mg 0.0000 0.0000 0.5000
H1 H 0.5000 0.5000 0.5000
F1 F 0.5000 0.5000 0.0000
# - E (eV per atom) = -4.569
# - total magnetic moment (μB/f.u.) = 0.0
# - N(E_F) (states/eV per atom) = 0.94